This record from Alexandria via LeMat-Bulk describes a relaxed BaMgV4O8 crystal. The functional is PBE with a Hubbard U.

volume = 192.1 Å³ per cell
spin magnetization = 8.0 μB per formula unit
E_tot = -7.31 eV/atom

a b c (Å): 5.4724 5.4724 7.4060
angles (deg): 90.00 90.00 120.00
Closest atoms and distances in Å follow each position.
Space group P-31m (No. 162)
Unique sites:
Ba: 0.0000 0.0000 0.0000 x1  12 O 2.96-3.16
Mg: 0.0000 0.0000 0.5000 x1  6 O 2.16
V: 0.3333 0.6667 0.2567 x4  4 O 1.90-1.94
O: 0.0000 0.3151 0.3241 x6  2 V 1.94, 1 Mg 2.16
O: 0.3333 0.6667 0.0000 x2  2 V 1.90